Record 1
! AsPt2Br, relaxed, DFT PBE; values from VASP
! DFT total energy (eV/atom): -4.132
! Fermi-level density of states (states/eV/cell): 1.62
&SYSTEM
  ibrav = 0, nat = 4, ntyp = 3
/
ATOMIC_SPECIES
As 74.92 As.upf
Pt 195.08 Pt.upf
Br 79.90 Br.upf
CELL_PARAMETERS angstrom
4.552 0.000 0.000
0.000 4.552 0.000
0.000 0.000 3.406
ATOMIC_POSITIONS crystal
As 0.000 0.000 0.000
Pt 0.000 0.500 0.500
Pt 0.500 0.000 0.500
Br 0.500 0.500 0.000

***

Record 2
! TbHoHfN3, relaxed, DFT PBE; values from VASP
! DFT total energy (eV/atom): -8.873
! Fermi-level density of states (states/eV/cell): 4.03
&SYSTEM
  ibrav = 0, nat = 12, ntyp = 4
/
ATOMIC_SPECIES
Tb 158.93 Tb.upf
Ho 164.93 Ho.upf
Hf 178.49 Hf.upf
N 14.01 N.upf
CELL_PARAMETERS angstrom
5.716 0.000 0.000
0.000 3.343 0.000
-1.652 0.000 8.688
ATOMIC_POSITIONS crystal
Tb 0.167 0.250 0.203
Tb 0.833 0.750 0.797
Ho 0.345 0.250 0.861
Ho 0.655 0.750 0.139
Hf 0.265 0.750 0.543
Hf 0.735 0.250 0.457
N 0.041 0.250 0.647
N 0.248 0.750 0.013
N 0.469 0.750 0.359
N 0.531 0.250 0.641
N 0.752 0.250 0.987
N 0.959 0.750 0.353

***

What did the second record say?
! TbHoHfN3, relaxed, DFT PBE; values from VASP
! DFT total energy (eV/atom): -8.873
! Fermi-level density of states (states/eV/cell): 4.03
&SYSTEM
  ibrav = 0, nat = 12, ntyp = 4
/
ATOMIC_SPECIES
Tb 158.93 Tb.upf
Ho 164.93 Ho.upf
Hf 178.49 Hf.upf
N 14.01 N.upf
CELL_PARAMETERS angstrom
5.716 0.000 0.000
0.000 3.343 0.000
-1.652 0.000 8.688
ATOMIC_POSITIONS crystal
Tb 0.167 0.250 0.203
Tb 0.833 0.750 0.797
Ho 0.345 0.250 0.861
Ho 0.655 0.750 0.139
Hf 0.265 0.750 0.543
Hf 0.735 0.250 0.457
N 0.041 0.250 0.647
N 0.248 0.750 0.013
N 0.469 0.750 0.359
N 0.531 0.250 0.641
N 0.752 0.250 0.987
N 0.959 0.750 0.353

***

- Look up the DFT total energy of the first one.
  -4.132 eV/atom

***

- The lowest Fermi-level density of states belongs to which entry?
  AsPt2Br